The following is a DFT calculation (PBE) of an optimized crystal structure of Ba2BeZn2.

Output
Total magnetic moment   0.0 μB per formula unit
D(E_F)   11.01 states/eV per cell
Formation energy from the elements   0.2501 eV/atom
Crystal system   tetragonal

Cell lengths 7.6178, 7.6178, 5.0304 Å; angles 90.00, 90.00, 90.00 degrees
Last column: nearest neighbours and their distance in Å.
Sites, in units of the cell vectors:
Ba  0.1870  0.6870  0.5000  6 Zn 3.25-3.48
Zn  0.6213  0.1213  0.0000  1 Zn 2.61
Ba  0.6870  0.8130  0.5000  6 Zn 3.25-3.48
Be  0.5000  0.5000  0.0000  4 Zn 3.03
Be  0.0000  0.0000  0.0000  4 Zn 3.03
Ba  0.8130  0.3130  0.5000  6 Zn 3.25-3.48
Zn  0.8787  0.6213  0.0000  1 Zn 2.61
Ba  0.3130  0.1870  0.5000  6 Zn 3.25-3.48
Zn  0.3787  0.8787  0.0000  1 Zn 2.61
Zn  0.1213  0.3787  0.0000  1 Zn 2.61